Here is a relaxed KNaSi2Bi crystal from Alexandria via LeMat-Bulk. Energies are from PBE.

Computed properties:
formation energy (no corrections): 0.649 eV/atom
ρ: 2.99 Mg/m³
magnetization: 0.000 μB per formula unit

Lattice parameters (Å, degrees): 5.624 5.624 5.747 90.00 90.00 90.00
Element x y z (fractional)
K: 0.000 0.000 0.000
Na: 0.500 0.500 0.000
Si: 0.000 0.500 0.500
Si: 0.500 0.000 0.500
Bi: 0.500 0.500 0.500



Here is a relaxed K3Na2SnBi3 crystal from Alexandria via LeMat-Bulk. Energies are from PBE.

Computed properties:
ΔE_f: -0.37 eV/atom
ρ: 4.43 Mg/m³
magnetization: 0.000 μB per formula unit

Lattice parameters (Å, degrees): 14.363 14.363 14.363 150.81 105.98 81.47
Element x y z (fractional)
K: 0.078 0.750 0.828
K: 0.087 0.882 0.640
K: 0.243 0.382 0.295
K: 0.257 0.552 0.140
K: 0.413 0.052 0.795
K: 0.422 0.250 0.672
K: 0.578 0.750 0.328
K: 0.587 0.948 0.205
K: 0.743 0.448 0.860
K: 0.757 0.618 0.705
K: 0.913 0.118 0.360
K: 0.922 0.250 0.172
Na: 0.003 0.253 0.750
Na: 0.161 0.411 0.750
Na: 0.339 0.089 0.250
Na: 0.497 0.247 0.250
Na: 0.503 0.753 0.750
Na: 0.661 0.911 0.750
Na: 0.839 0.589 0.250
Na: 0.997 0.747 0.250
Sn: 0.167 0.917 0.250
Sn: 0.333 0.583 0.750
Sn: 0.667 0.417 0.250
Sn: 0.833 0.083 0.750
Bi: 0.023 0.371 0.073
Bi: 0.149 0.250 0.399
Bi: 0.202 0.051 0.573
Bi: 0.298 0.871 0.848
Bi: 0.351 0.750 0.101
Bi: 0.477 0.551 0.348
Bi: 0.523 0.449 0.652
Bi: 0.649 0.250 0.899
Bi: 0.702 0.129 0.152
Bi: 0.798 0.949 0.427
Bi: 0.851 0.750 0.601
Bi: 0.977 0.629 0.927



Here is a relaxed KNa2Sr2Bi2 crystal from Alexandria via LeMat-Bulk. Energies are from PBE.

Computed properties:
ΔE_f: -0.51 eV/atom
ρ: 4.12 Mg/m³
magnetization: 0.732 μB per formula unit

Lattice parameters (Å, degrees): 10.848 10.848 10.848 29.48 29.48 29.48
Element x y z (fractional)
K: 0.000 0.000 0.000
Na: 0.402 0.402 0.402
Na: 0.598 0.598 0.598
Sr: 0.130 0.130 0.130
Sr: 0.870 0.870 0.870
Bi: 0.248 0.248 0.248
Bi: 0.752 0.752 0.752



Here is a relaxed K2Na2SrBi2 crystal from Alexandria via LeMat-Bulk. Energies are from PBE.

Computed properties:
ΔE_f: -0.50 eV/atom
ρ: 4.00 Mg/m³
magnetization: 0.000 μB per formula unit

Lattice parameters (Å, degrees): 10.338 10.338 10.338 31.09 31.09 31.09
Element x y z (fractional)
K: 0.133 0.133 0.133
K: 0.867 0.867 0.867
Na: 0.389 0.389 0.389
Na: 0.611 0.611 0.611
Sr: 0.000 0.000 0.000
Bi: 0.266 0.266 0.266
Bi: 0.734 0.734 0.734



Here is a relaxed KNaTlBi crystal from Alexandria via LeMat-Bulk. Energies are from PBE.

Computed properties:
ΔE_f: -0.26 eV/atom
ρ: 5.93 Mg/m³
magnetization: 0.000 μB per formula unit

Lattice parameters (Å, degrees): 5.733 5.733 5.733 60.00 60.00 60.00
Element x y z (fractional)
K: 0.000 0.000 0.000
Na: 0.750 0.750 0.750
Tl: 0.250 0.250 0.250
Bi: 0.500 0.500 0.500



Here is a relaxed KNa2VBi crystal from Alexandria via LeMat-Bulk. Energies are from PBE.

Computed properties:
ΔE_f: 0.92 eV/atom
ρ: 2.97 Mg/m³
magnetization: 4.546 μB per formula unit

Lattice parameters (Å, degrees): 5.693 5.693 5.944 90.00 90.00 90.00
Element x y z (fractional)
K: 0.000 0.000 0.000
Na: 0.000 0.500 0.500
Na: 0.500 0.000 0.500
V: 0.000 0.000 0.500
Bi: 0.500 0.500 0.000



Here is a relaxed K2NaZnBi2 crystal from Alexandria via LeMat-Bulk. Energies are from PBE.

Computed properties:
ΔE_f: -0.28 eV/atom
ρ: 4.59 Mg/m³
magnetization: 0.000 μB per formula unit

Lattice parameters (Å, degrees): 9.658 9.658 9.658 136.09 63.38 136.69
Element x y z (fractional)
K: 0.169 0.240 0.409
K: 0.331 0.740 0.072
K: 0.669 0.260 0.928
K: 0.831 0.760 0.591
Na: 0.250 0.250 0.000
Na: 0.750 0.750 0.000
Zn: 0.250 0.750 0.500
Zn: 0.750 0.250 0.500
Bi: 0.102 0.711 0.813
Bi: 0.398 0.211 0.610
Bi: 0.602 0.789 0.390
Bi: 0.898 0.289 0.187



Here is a relaxed KNaZnBi crystal from Alexandria via LeMat-Bulk. Energies are from PBE.

Computed properties:
ΔE_f: -0.11 eV/atom
ρ: 4.79 Mg/m³
magnetization: 0.000 μB per formula unit

Lattice parameters (Å, degrees): 5.486 5.486 5.486 60.00 60.00 60.00
Element x y z (fractional)
K: 0.000 0.000 0.000
Na: 0.750 0.750 0.750
Zn: 0.250 0.250 0.250
Bi: 0.500 0.500 0.500



Here is a relaxed KNaZnBi2 crystal from Alexandria via LeMat-Bulk. Energies are from PBE.

Computed properties:
ΔE_f: 0.25 eV/atom
ρ: 5.00 Mg/m³
magnetization: 0.000 μB per formula unit

Lattice parameters (Å, degrees): 5.661 5.661 5.654 90.00 90.00 90.00
Element x y z (fractional)
K: 0.000 0.000 0.000
Na: 0.500 0.500 0.500
Zn: 0.500 0.500 0.000
Bi: 0.000 0.500 0.500
Bi: 0.500 0.000 0.500



Here is a relaxed KNbBi3 crystal from Alexandria via LeMat-Bulk. Energies are from PBE.

Computed properties:
ΔE_f: 0.09 eV/atom
ρ: 7.13 Mg/m³
magnetization: 0.000 μB per formula unit

Lattice parameters (Å, degrees): 5.611 5.611 5.611 90.00 90.00 90.00
Element x y z (fractional)
K: 0.000 0.000 0.000
Nb: 0.500 0.500 0.500
Bi: 0.000 0.500 0.500
Bi: 0.500 0.000 0.500
Bi: 0.500 0.500 0.000



Here is a relaxed KNbBi2 crystal from Alexandria via LeMat-Bulk. Energies are from PBE.

Computed properties:
ΔE_f: 0.38 eV/atom
ρ: 8.34 Mg/m³
magnetization: 1.811 μB per formula unit
offset from the most stable computed form: 1.318 kcal/mol of atoms

Lattice parameters (Å, degrees): 5.370 5.370 5.370 60.00 60.00 60.00
Element x y z (fractional)
K: 0.000 0.000 0.000
Nb: 0.500 0.500 0.500
Bi: 0.250 0.250 0.250
Bi: 0.750 0.750 0.750



Here is a relaxed KNbBi2 crystal from Alexandria via LeMat-Bulk. Energies are from PBE.

Computed properties:
ΔE_f: 0.32 eV/atom
ρ: 4.82 Mg/m³
magnetization: 0.000 μB per formula unit
offset from the most stable computed form: 0.000 kcal/mol of atoms

Lattice parameters (Å, degrees): 8.420 8.420 8.420 125.84 125.84 80.16
Element x y z (fractional)
K: 0.000 0.000 0.000
K: 0.750 0.250 0.500
Nb: 0.250 0.750 0.500
Nb: 0.500 0.500 0.000
Bi: 0.238 0.625 0.113
Bi: 0.375 0.488 0.613
Bi: 0.512 0.125 0.887
Bi: 0.875 0.762 0.387